Crystalline K2TlBr at its relaxed geometry. Source: the Alexandria database, functional PBE.

It has space group Cmmm (No. 65), with a = 5.5093 Å, b = 5.5257 Å, c = 9.5429 Å, α = 90.00°, β = 90.00° and γ = 90.00°. Symmetry generates all atoms from K at (0.0000, 0.0000, 0.2100), Tl at (0.0000, 0.5000, 0.5000) and Br at (0.0000, 0.5000, 0.0000).

Its uncorrected formation energy is -0.803 eV per atom. As for the excess energy over the best structure of this formula in the dataset: 0.0000 eV/atom.